DFT (PBE) results for an optimized crystal structure of Pr8RuPt3Cl4.

Output
- Energy: -5.80 eV/atom

extended XYZ file:
```
16
Lattice="4.202 2.426 7.538 -4.202 2.426 7.538 0.000 -4.852 7.538" Properties=species:S:1:pos:R:3 pbc="T T T"
Pr 0.000 0.000 5.327
Pr -2.042 -1.179 12.867
Pr 0.000 -2.358 9.748
Pr -2.042 1.179 9.748
Pr 2.042 -1.179 12.867
Pr 0.000 2.358 12.867
Pr 2.042 1.179 9.748
Pr 0.000 0.000 17.288
Ru 0.000 0.000 11.308
Pt -4.202 0.000 11.308
Pt -2.101 1.213 3.769
Pt 2.101 1.213 3.769
Cl 0.000 0.000 0.000
Cl -2.101 -1.213 7.538
Cl -2.101 1.213 15.077
Cl 0.000 2.426 7.538
```